VASP calculation (PBE-GGA) on crystalline Li2MoIr at its relaxed geometry.

Calculated values
DFT formation energy in eV/atom: 0.07
Energy above the lowest structure with this stoichiometry in eV/f.u.: 0.49

```
data_Li2MoIr
_cell_length_a 8.635
_cell_length_b 2.723
_cell_length_c 5.050
_cell_angle_alpha 90.00
_cell_angle_beta 96.56
_cell_angle_gamma 90.00
_space_group_name_H-M_alt 'C 1 m 1'
_space_group_IT_number 8
loop_
_space_group_symop_operation_xyz
'x,y,z'
'x,-y,z'
'x+1/2,y+1/2,z'
'x+1/2,-y+1/2,z'
loop_
_atom_site_label
_atom_site_type_symbol
_atom_site_fract_x
_atom_site_fract_y
_atom_site_fract_z
Li1 Li 0.000 0.000 0.000
Li2 Li 0.243 0.000 0.799
Mo1 Mo 0.256 0.500 0.320
Ir1 Ir 0.009 0.500 0.506
```